Arrangement A

MoOsAu2 PBE relaxed; crystal system = monoclinic; total magnetic moment = 0.00 μB per formula unit
1.0
3.895 0.000 0.000
0.000 2.896 -0.005
0.000 2.816 5.861
Au Mo Os
2 1 1
Cartesian
0.000 2.812 5.846 Au
1.948 1.438 1.479 Au
0.000 2.954 3.085 Mo
1.948 4.179 4.235 Os

---

Arrangement B

MoOsAu2 PBE relaxed; crystal system = tetragonal; total magnetic moment = 0.00 μB per formula unit
1.0
2.724 0.415 0.000
-0.413 2.724 0.000
0.000 0.000 8.565
Au Mo Os
2 1 1
Cartesian
0.000 0.000 8.553 Au
0.000 0.000 4.294 Au
1.156 1.570 2.141 Mo
1.156 1.570 6.424 Os

---

The data favor arrangement A; the next most stable structure lies 251 meV/atom above it.

---

Arrangement A

HfCrAgS4 PBE relaxed; crystal system = orthorhombic; total magnetic moment = 3.00 μB per formula unit
1.0
3.616 0.000 0.000
0.000 12.359 0.000
0.000 0.000 12.023
Hf Cr Ag S
4 4 4 16
Cartesian
0.904 2.102 8.531 Hf
2.712 10.257 3.491 Hf
2.712 4.078 2.520 Hf
0.904 8.281 9.503 Hf
0.904 1.220 0.938 Cr
2.712 11.139 11.085 Cr
2.712 4.959 6.949 Cr
0.904 7.399 5.074 Cr
2.712 1.564 4.970 Ag
0.904 10.794 7.053 Ag
0.904 4.615 10.981 Ag
2.712 7.744 1.042 Ag
2.712 0.773 7.429 S
0.904 11.586 4.594 S
0.904 5.407 1.418 S
2.712 6.952 10.605 S
0.904 0.414 10.629 S
2.712 11.944 1.394 S
2.712 5.765 4.618 S
0.904 6.593 7.405 S
0.904 2.344 3.148 S
2.712 10.015 8.875 S
2.712 3.836 9.160 S
0.904 8.523 2.863 S
2.712 2.669 0.395 S
0.904 9.689 11.628 S
0.904 3.510 6.407 S
2.712 8.848 5.616 S

---

Arrangement B

HfCrAgS4 PBE relaxed; crystal system = triclinic; total magnetic moment = 3.00 μB per formula unit
1.0
7.096 0.907 -0.006
1.667 14.093 0.023
0.000 0.001 6.148
Hf Cr Ag S
4 4 4 16
Cartesian
4.756 11.074 0.510 Hf
2.311 3.821 2.697 Hf
5.785 4.176 2.457 Hf
2.736 10.745 3.642 Hf
0.483 3.536 5.670 Cr
8.283 11.546 0.520 Cr
4.040 4.050 5.677 Cr
6.488 11.317 3.559 Cr
2.306 13.823 3.603 Ag
5.415 7.299 2.710 Ag
7.160 7.600 5.463 Ag
4.719 14.225 0.364 Ag
2.079 5.188 4.758 S
6.765 9.996 5.570 S
5.982 2.854 0.389 S
2.709 12.261 1.506 S
2.440 2.489 0.490 S
6.414 12.687 1.583 S
5.649 5.582 4.696 S
3.069 9.409 5.718 S
0.664 2.155 3.682 S
7.937 12.905 4.691 S
3.829 5.469 1.501 S
4.927 9.689 2.641 S
7.424 5.899 1.522 S
1.195 9.227 2.480 S
4.233 2.614 3.703 S
4.563 12.479 4.533 S

---

The data favor arrangement B; the next most stable structure lies 95 meV/atom above it.